1.
The following is a PBE calculation of a relaxed PrSbO4 crystal, from OQMD via LeMat-Bulk.

The structure belongs to space group P2/c (No. 13); the cell edges are 5.565, 4.714 and 14.136 Å and the angles 90.00°, 112.31° and 90.00°. Symmetry generates all atoms from Pr at (0.172, 0.134, 0.143), Sb at (0.363, 0.257, 0.927), O at (0.005, 0.385, 0.867), O at (0.259, 0.071, 0.494), O at (0.354, 0.030, 0.810) and O at (0.421, 0.419, 0.072).

As for the total energy: -6.9578 eV per atom. For the magnetization, the calculation gives 0.01 μB/cell.

2.
The following is a PBE calculation of a relaxed PrSm2SbO6 crystal, from OQMD via LeMat-Bulk.

The structure belongs to space group P-1 (No. 2); the cell edges are 5.382, 5.415 and 6.163 Å and the angles 68.27°, 67.07° and 86.94°. Symmetry generates all atoms from Pr at (0.000, 0.000, 0.000), Sm at (0.264, 0.734, 0.501), Sb at (0.500, 0.500, 0.000), O at (0.141, 0.557, 0.241), O at (0.354, 0.357, 0.802) and O at (0.453, 0.857, 0.758).

As for the total energy: -7.3253 eV per atom. For the magnetization, the calculation gives 0.00 μB/cell.